[1]
Density functional theory data (PBE) for NiBRh3 after structural relaxation.

Calculated values
ΔE_f = -0.096 eV/atom
crystal system = monoclinic

abc: 4.8046 4.8046 9.6158
angles: 102.75 102.75 35.26
Element x y z (fractional)
Ni  0.1400  0.1400  0.4430
Ni  0.8600  0.8600  0.5570
B  0.2576  0.2576  0.1465
B  0.7424  0.7424  0.8535
Rh  0.1181  0.1181  0.9312
Rh  0.3723  0.3723  0.7855
Rh  0.3968  0.3968  0.3510
Rh  0.6032  0.6032  0.6490
Rh  0.6277  0.6277  0.2145
Rh  0.8819  0.8819  0.0688

***

[2]
Density functional theory data (PBE) for NiBRh2 after structural relaxation.

Calculated values
ΔE_f = 0.023 eV/atom
crystal system = tetragonal

abc: 5.1587 5.1587 5.1587
angles: 102.00 102.00 125.75
Element x y z (fractional)
Ni  0.0000  0.0000  0.0000
Ni  0.7500  0.2500  0.5000
B  0.2500  0.7500  0.5000
B  0.5000  0.5000  0.0000
Rh  0.2091  0.6250  0.0841
Rh  0.3750  0.4591  0.5841
Rh  0.5409  0.1250  0.9159
Rh  0.8750  0.7909  0.4159

***

[3]
Density functional theory data (PBE) for NiB2Rh3 after structural relaxation.

Calculated values
ΔE_f = -0.255 eV/atom
crystal system = orthorhombic

abc: 6.2366 6.2366 6.2366
angles: 131.53 73.69 128.16
Element x y z (fractional)
Ni  0.0000  0.0000  0.0000
Ni  0.5000  0.5000  0.0000
B  0.1413  0.6981  0.8394
B  0.3587  0.1981  0.5568
B  0.6413  0.8019  0.4432
B  0.8587  0.3019  0.1606
Rh  0.0266  0.2500  0.7766
Rh  0.2500  0.7500  0.5000
Rh  0.4734  0.2500  0.2234
Rh  0.5266  0.7500  0.7766
Rh  0.7500  0.2500  0.5000
Rh  0.9734  0.7500  0.2234

***

[4]
Density functional theory data (PBE) for Ni4B2Rh after structural relaxation.

Calculated values
ΔE_f = -0.139 eV/atom
crystal system = orthorhombic

abc: 6.8546 6.8546 6.8546
angles: 132.74 61.91 142.39
Element x y z (fractional)
Ni  0.0255  0.2794  0.2461
Ni  0.0334  0.7794  0.7539
Ni  0.1827  0.0134  0.1960
Ni  0.1827  0.4866  0.6693
Ni  0.4107  0.7714  0.1393
Ni  0.6321  0.2714  0.8607
Ni  0.8173  0.5134  0.3307
Ni  0.8173  0.9866  0.8040
B  0.0106  0.5049  0.0056
B  0.4993  0.0049  0.9944
B  0.7061  0.2061  0.5000
B  0.7061  0.7061  0.0000
Rh  0.3929  0.2574  0.6355
Rh  0.6220  0.7574  0.3645

***

[5]
Density functional theory data (PBE) for NiBRh2 after structural relaxation.

Calculated values
ΔE_f = -0.051 eV/atom
crystal system = trigonal

abc: 7.2998 7.2998 7.2998
angles: 21.94 21.94 21.94
Element x y z (fractional)
Ni  0.0000  0.0000  0.0000
B  0.1652  0.1652  0.1652
Rh  0.5655  0.5655  0.5655
Rh  0.7659  0.7659  0.7659

***

[6]
Density functional theory data (PBE) for NiBRh3 after structural relaxation.

Calculated values
ΔE_f = -0.053 eV/atom
crystal system = monoclinic

abc: 7.1528 4.8506 9.3671
angles: 90.00 129.75 90.00
Element x y z (fractional)
Ni  0.1399  0.2148  0.1199
Ni  0.1399  0.2852  0.6199
Ni  0.8601  0.7148  0.3801
Ni  0.8601  0.7852  0.8801
B  0.3595  0.0070  0.8005
B  0.3595  0.4930  0.3005
B  0.6405  0.5070  0.6995
B  0.6405  0.9930  0.1995
Rh  0.0806  0.7390  0.7352
Rh  0.0806  0.7610  0.2352
Rh  0.3306  0.7456  0.6096
Rh  0.3306  0.7544  0.1096
Rh  0.3972  0.2265  0.5004
Rh  0.3972  0.2735  0.0004
Rh  0.6028  0.7265  0.9996
Rh  0.6028  0.7735  0.4996
Rh  0.6694  0.2456  0.8904
Rh  0.6694  0.2544  0.3904
Rh  0.9194  0.2390  0.7648
Rh  0.9194  0.2610  0.2648

***

[7]
Density functional theory data (PBE) for NiB4Rh5 after structural relaxation.

Calculated values
ΔE_f = -0.248 eV/atom
crystal system = monoclinic

abc: 7.2267 7.2267 5.7082
angles: 113.14 113.14 24.33
Element x y z (fractional)
Ni  0.0000  0.0000  0.0000
B  0.2123  0.2123  0.2127
B  0.4999  0.4999  0.2426
B  0.5001  0.5001  0.7574
B  0.7877  0.7877  0.7873
Rh  0.0000  0.0000  0.5000
Rh  0.3400  0.3400  0.0818
Rh  0.3399  0.3399  0.5954
Rh  0.6601  0.6601  0.4046
Rh  0.6600  0.6600  0.9182

***

[8]
Density functional theory data (PBE) for NiB3Rh3 after structural relaxation.

Calculated values
ΔE_f = -0.314 eV/atom
crystal system = trigonal

abc: 5.5208 5.5208 5.5208
angles: 72.23 72.23 72.23
Element x y z (fractional)
Ni  0.1966  0.1966  0.1966
Ni  0.8034  0.8034  0.8034
B  0.0306  0.8584  0.4181
B  0.1416  0.5819  0.9694
B  0.4181  0.0306  0.8584
B  0.5819  0.9694  0.1416
B  0.8584  0.4181  0.0306
B  0.9694  0.1416  0.5819
Rh  0.1633  0.3651  0.6851
Rh  0.3149  0.8367  0.6349
Rh  0.3651  0.6851  0.1633
Rh  0.6349  0.3149  0.8367
Rh  0.6851  0.1633  0.3651
Rh  0.8367  0.6349  0.3149